[1]
Compound: BaHgO2
Source: the Alexandria database
Functional: PBEsol
Structure: optimized geometry

Properties
Energy = -4.85 eV per atom

abc: 6.837 6.837 12.498
angles: 90.00 90.00 120.00
Fractional coordinates of all 24 atoms:
O: 0.648 0.963 0.890
O: 0.314 0.963 0.610
O: 0.037 0.686 0.890
O: 0.963 0.648 0.110
O: 0.686 0.037 0.110
O: 0.963 0.314 0.390
O: 0.686 0.648 0.390
O: 0.037 0.352 0.610
O: 0.352 0.314 0.110
O: 0.314 0.352 0.890
O: 0.648 0.686 0.610
O: 0.352 0.037 0.390
Hg: 0.649 0.824 0.750
Hg: 0.176 0.351 0.750
Hg: 0.824 0.176 0.250
Hg: 0.351 0.176 0.250
Hg: 0.824 0.649 0.250
Hg: 0.176 0.824 0.750
Ba: 0.667 0.333 0.967
Ba: 0.000 0.000 0.000
Ba: 0.000 0.000 0.500
Ba: 0.667 0.333 0.533
Ba: 0.333 0.667 0.033
Ba: 0.333 0.667 0.467

---

[2]
Compound: Cs2LaScC
Source: the Alexandria database
Functional: PBEsol
Structure: optimized geometry

Properties
ΔE_f = 2.07 eV per atom

abc: 5.506 6.848 6.848
angles: 90.00 90.00 90.00
Last column: magnetic moment on the atom in μB.
Fractional coordinates of all 5 atoms:
Sc: 0.000 0.000 0.000  -0.22
C: 0.500 0.500 0.500  1.05
Cs: 0.000 0.500 0.000  0.00
Cs: 0.000 0.000 0.500  0.00
La: 0.500 0.000 0.000  -0.15

---

[3]
Compound: Zr3ClF
Source: the Alexandria database
Functional: PBEsol
Structure: optimized geometry

Properties
Energy = -6.20 eV per atom

abc: 4.725 4.725 4.725
angles: 90.00 90.00 90.00
Fractional coordinates of all 5 atoms:
Zr: 0.500 0.000 0.000
Zr: 0.000 0.500 0.000
Zr: 0.000 0.000 0.500
Cl: 0.000 0.000 0.000
F: 0.500 0.500 0.500

---

[4]
Compound: Sr4IrW
Source: the Alexandria database
Functional: PBEsol
Structure: optimized geometry

Properties
ΔE_f = 1.70 eV per atom

abc: 6.208 6.208 6.208
angles: 60.00 60.00 60.00
Last column: magnetic moment on the atom in μB.
Fractional coordinates of all 6 atoms:
Sr: 0.374 0.877 0.374  0.03
Sr: 0.374 0.374 0.374  0.03
Sr: 0.374 0.374 0.877  0.03
Sr: 0.877 0.374 0.374  0.03
Ir: 0.000 0.000 0.000  0.42
W: 0.750 0.750 0.750  2.55

---

[5]
Compound: CaTaSb2
Source: the Alexandria database
Functional: PBEsol
Structure: optimized geometry

Properties
ΔE to the lowest computed polymorph = 0.000 eV/atom

abc: 3.947 3.947 7.821
angles: 75.38 75.38 60.00
Fractional coordinates of all 4 atoms:
Ca: 0.500 0.500 0.500
Sb: 0.260 0.260 0.220
Sb: 0.740 0.740 0.780
Ta: 0.000 0.000 0.000

---

[6]
Compound: BaSrCo
Source: the Alexandria database
Functional: PBEsol
Structure: optimized geometry

Properties
ΔE_f = 1.12 eV per atom

abc: 5.133 5.133 5.133
angles: 60.00 60.00 60.00
Last column: magnetic moment on the atom in μB.
Fractional coordinates of all 3 atoms:
Ba: 0.000 0.000 0.000  -0.12
Sr: 0.250 0.250 0.250  -0.08
Co: 0.500 0.500 0.500  1.25

---

[7]
Compound: MgCd2
Source: the Alexandria database
Functional: PBEsol
Structure: optimized geometry

Properties
ΔE_f = -0.02 eV per atom

abc: 3.120 8.394 8.394
angles: 120.00 90.00 90.00
Fractional coordinates of all 9 atoms:
Cd: 0.500 0.301 0.301
Cd: 0.500 0.699 0.000
Cd: 0.500 0.000 0.699
Cd: 0.000 0.000 0.367
Cd: 0.000 0.633 0.633
Cd: 0.000 0.367 0.000
Mg: 0.500 0.333 0.667
Mg: 0.500 0.667 0.333
Mg: 0.000 0.000 0.000

---

[8]
Compound: LiRe2
Source: the Alexandria database
Functional: PBEsol
Structure: optimized geometry

Properties
ΔE to the lowest computed polymorph = 0.159 eV/atom
ΔE_f = 0.30 eV per atom

abc: 2.687 4.356 7.736
angles: 90.00 100.00 90.00
Fractional coordinates of all 6 atoms:
Re: 0.896 0.250 0.792
Re: 0.104 0.750 0.208
Re: 0.447 0.750 0.894
Re: 0.553 0.250 0.106
Li: 0.779 0.750 0.557
Li: 0.221 0.250 0.443

---

[9]
Compound: LiAuBr2
Source: the Alexandria database
Functional: PBEsol
Structure: optimized geometry

Properties
ΔE to the lowest computed polymorph = 0.333 eV/atom

abc: 4.912 4.912 4.912
angles: 60.00 60.00 60.00
Fractional coordinates of all 4 atoms:
Br: 0.250 0.250 0.250
Br: 0.750 0.750 0.750
Li: 0.500 0.500 0.500
Au: 0.000 0.000 0.000

---

[10]
Compound: LaSn2Au2
Source: the Alexandria database
Functional: PBEsol
Structure: optimized geometry

Properties
ΔE_f = -0.61 eV per atom

abc: 4.430 4.430 6.824
angles: 108.94 108.94 90.00
Fractional coordinates of all 5 atoms:
Sn: 0.250 0.750 0.500
Sn: 0.750 0.250 0.500
Au: 0.392 0.392 0.783
Au: 0.608 0.608 0.217
La: 0.000 0.000 0.000

---

[11]
Compound: LiCaAu
Source: the Alexandria database
Functional: PBEsol
Structure: optimized geometry

Properties
ΔE_f = -0.49 eV per atom

abc: 3.887 4.425 4.425
angles: 120.00 90.00 90.00
Fractional coordinates of all 3 atoms:
Ca: 0.667 0.333 0.667
Li: 0.167 0.667 0.333
Au: 0.167 0.000 0.000

---

[12]
Compound: TmCu5
Source: the Alexandria database
Functional: PBEsol
Structure: optimized geometry

Properties
ΔE_f = -0.20 eV per atom

abc: 4.858 4.858 4.858
angles: 60.00 60.00 60.00
Fractional coordinates of all 6 atoms:
Cu: 0.376 0.376 0.872
Cu: 0.376 0.376 0.376
Cu: 0.872 0.376 0.376
Cu: 0.750 0.750 0.750
Cu: 0.376 0.872 0.376
Tm: 0.000 0.000 0.000

---

[13]
Compound: Cr2O3
Source: the Alexandria database
Functional: PBEsol
Structure: optimized geometry

Properties
Energy = -9.11 eV per atom

abc: 7.989 7.989 7.989
angles: 109.47 109.47 109.47
Last column: magnetic moment on the atom in μB.
Fractional coordinates of all 40 atoms:
Cr: 0.750 0.038 0.288  2.87
Cr: 0.962 0.212 0.750  2.87
Cr: 0.712 0.250 0.962  2.87
Cr: 0.000 0.000 0.000  2.88
Cr: 0.288 0.750 0.038  2.87
Cr: 0.788 0.750 0.538  2.87
Cr: 0.250 0.962 0.712  2.87
Cr: 0.212 0.250 0.462  2.87
Cr: 0.250 0.462 0.212  2.87
Cr: 0.750 0.538 0.788  2.87
Cr: 0.038 0.788 0.250  2.87
Cr: 0.500 0.500 0.000  2.88
Cr: 0.500 0.000 0.500  2.88
Cr: 0.538 0.288 0.250  2.87
Cr: 0.462 0.712 0.750  2.87
Cr: 0.000 0.500 0.500  2.88
O: 0.775 0.541 0.048  -0.02
O: 0.273 0.048 0.507  -0.02
O: 0.265 0.725 0.273  -0.02
O: 0.007 0.273 0.548  -0.02
O: 0.541 0.548 0.275  -0.02
O: 0.959 0.235 0.007  -0.02
O: 0.765 0.493 0.541  -0.02
O: 0.727 0.952 0.493  -0.02
O: 0.548 0.775 0.041  -0.02
O: 0.725 0.773 0.765  -0.02
O: 0.227 0.735 0.775  -0.02
O: 0.493 0.041 0.265  -0.02
O: 0.507 0.959 0.735  -0.02
O: 0.459 0.452 0.725  -0.02
O: 0.993 0.727 0.452  -0.02
O: 0.275 0.227 0.235  -0.02
O: 0.225 0.459 0.952  -0.02
O: 0.952 0.993 0.227  -0.02
O: 0.773 0.265 0.225  -0.02
O: 0.041 0.765 0.993  -0.02
O: 0.452 0.225 0.959  -0.02
O: 0.735 0.275 0.727  -0.02
O: 0.235 0.507 0.459  -0.02
O: 0.048 0.007 0.773  -0.02

---

[14]
Compound: Rb2LiCeBr6
Source: the Alexandria database
Functional: PBEsol
Structure: optimized geometry

Properties
Energy = -3.88 eV per atom

abc: 7.798 7.798 7.798
angles: 60.00 60.00 60.00
Last column: magnetic moment on the atom in μB.
Fractional coordinates of all 10 atoms:
Br: 0.258 0.742 0.258  -0.01
Br: 0.258 0.258 0.742  -0.01
Br: 0.742 0.258 0.258  -0.01
Br: 0.258 0.742 0.742  -0.01
Br: 0.742 0.742 0.258  -0.01
Br: 0.742 0.258 0.742  -0.01
Li: 0.500 0.500 0.500  0.00
Rb: 0.250 0.250 0.250  0.00
Rb: 0.750 0.750 0.750  0.00
Ce: 0.000 0.000 0.000  0.99

---

[15]
Compound: Sc2TaRh
Source: the Alexandria database
Functional: PBEsol
Structure: optimized geometry

Properties
ΔE to the lowest computed polymorph = 0.023 eV/atom
ΔE_f = -0.20 eV per atom

abc: 3.003 4.463 5.559
angles: 90.00 103.93 90.00
Fractional coordinates of all 4 atoms:
Sc: 0.763 0.500 0.266
Sc: 0.040 0.000 0.977
Ta: 0.428 0.000 0.517
Rh: 0.270 0.500 0.740

---

[16]
Compound: Re3RhS
Source: the Alexandria database
Functional: PBEsol
Structure: optimized geometry

Properties
ΔE to the lowest computed polymorph = 0.000 eV/atom

abc: 4.265 4.265 4.265
angles: 90.00 90.00 90.00
Fractional coordinates of all 5 atoms:
Re: 0.000 0.000 0.500
Re: 0.000 0.500 0.000
Re: 0.500 0.000 0.000
Rh: 0.500 0.500 0.500
S: 0.000 0.000 0.000

---

[17]
Compound: CdInHg2
Source: the Alexandria database
Functional: PBEsol
Structure: optimized geometry

Properties
ΔE_f = -0.02 eV per atom

abc: 3.417 3.417 9.267
angles: 79.38 79.38 60.00
Fractional coordinates of all 4 atoms:
Hg: 0.252 0.252 0.244
Hg: 0.748 0.748 0.756
Cd: 0.000 0.000 0.000
In: 0.500 0.500 0.500

---

[18]
Compound: K4V5CdClO15
Source: the Alexandria database
Functional: PBEsol
Structure: optimized geometry

Properties
Energy = -7.41 eV per atom

abc: 5.322 9.087 9.087
angles: 90.00 90.00 90.00
Fractional coordinates of all 26 atoms:
V: 0.895 0.616 0.144
V: 0.895 0.856 0.616
V: 0.870 0.500 0.500
V: 0.895 0.384 0.856
V: 0.895 0.144 0.384
O: 0.775 0.000 0.500
O: 0.775 0.500 0.000
O: 0.789 0.789 0.122
O: 0.204 0.386 0.857
O: 0.204 0.857 0.614
O: 0.204 0.143 0.386
O: 0.776 0.308 0.455
O: 0.776 0.545 0.308
O: 0.204 0.614 0.143
O: 0.776 0.455 0.692
O: 0.789 0.122 0.211
O: 0.776 0.692 0.545
O: 0.170 0.500 0.500
O: 0.789 0.211 0.878
O: 0.789 0.878 0.789
Cd: 0.837 0.000 0.000
Cl: 0.318 0.000 0.000
K: 0.419 0.837 0.325
K: 0.419 0.163 0.675
K: 0.419 0.675 0.837
K: 0.419 0.325 0.163

---

[19]
Compound: InSbPt2
Source: the Alexandria database
Functional: PBEsol
Structure: optimized geometry

Properties
Energy = -5.50 eV per atom

abc: 3.956 3.956 6.811
angles: 73.12 73.12 60.00
Fractional coordinates of all 4 atoms:
Sb: 0.478 0.478 0.567
In: 0.269 0.269 0.192
Pt: 0.744 0.744 0.767
Pt: 0.009 0.009 0.974

---

[20]
Compound: BeNi2Pt
Source: the Alexandria database
Functional: PBEsol
Structure: optimized geometry

Properties
ΔE_f = -0.24 eV per atom

abc: 2.721 4.075 4.651
angles: 115.98 107.01 90.00
Fractional coordinates of all 4 atoms:
Pt: 0.524 0.524 0.048
Ni: 0.974 0.974 0.948
Ni: 0.744 0.244 0.488
Be: 0.258 0.758 0.516

---

Number 1: magnetization 0.00 Bohr magnetons per cell. Number 2: magnetization 1.76 Bohr magnetons per cell. Number 3: magnetization 0.00 Bohr magnetons per cell. Number 4: magnetization 4.42 Bohr magnetons per cell. Number 5: magnetization 0.00 Bohr magnetons per cell. Number 6: magnetization 0.78 Bohr magnetons per cell. Number 7: magnetization 0.00 Bohr magnetons per cell. Number 8: magnetization 0.00 Bohr magnetons per cell. Number 9: magnetization 0.00 Bohr magnetons per cell. Number 10: magnetization 0.00 Bohr magnetons per cell. Number 11: magnetization 0.00 Bohr magnetons per cell. Number 12: magnetization 0.00 Bohr magnetons per cell. Number 13: magnetization 48.00 Bohr magnetons per cell. Number 14: magnetization 1.00 Bohr magnetons per cell. Number 15: magnetization 0.00 Bohr magnetons per cell. Number 16: magnetization 0.00 Bohr magnetons per cell. Number 17: magnetization 0.00 Bohr magnetons per cell. Number 18: magnetization 0.00 Bohr magnetons per cell. Number 19: magnetization 0.00 Bohr magnetons per cell. Number 20: magnetization 0.00 Bohr magnetons per cell.